1.
# TaInHg2 | the Alexandria database | PBE | relaxed
# * raw total energy: -13.3 eV/f.u.
# * DFT formation energy: 1.90 eV per formula unit
data_TaInHg2
_cell_length_a 4.160
_cell_length_b 4.160
_cell_length_c 9.742
_cell_angle_alpha 90.00
_cell_angle_beta 90.00
_cell_angle_gamma 90.00
_symmetry_space_group_name_H-M 'I 4/m m m'
_symmetry_Int_Tables_number 139
_symmetry_space_group_name_Hall '-I 4 2'
loop_
_atom_site_label
_atom_site_fract_x
_atom_site_fract_y
_atom_site_fract_z
Ta1 0.000 0.000 0.000
In1 0.000 0.000 0.500
Hg1 0.000 0.500 0.250

2.
# TaInHg2 | the Alexandria database | PBE | relaxed
# * raw total energy: -13.6 eV/f.u.
# * DFT formation energy: 1.61 eV per formula unit
data_TaInHg2
_cell_length_a 3.132
_cell_length_b 4.336
_cell_length_c 6.295
_cell_angle_alpha 90.00
_cell_angle_beta 90.00
_cell_angle_gamma 90.00
_symmetry_space_group_name_H-M 'P m m 2'
_symmetry_Int_Tables_number 25
loop_
_symmetry_equiv_pos_as_xyz
'x,y,z'
'-x,-y,z'
'-x,y,z'
'x,-y,z'
loop_
_atom_site_label
_atom_site_fract_x
_atom_site_fract_y
_atom_site_fract_z
Ta1 0.000 0.000 0.000
In1 0.500 0.500 0.777
Hg1 0.000 0.000 0.499
Hg2 0.500 0.500 0.241

3.
# TaIn2Hg | the Alexandria database | PBE | relaxed
# * raw total energy: -16.6 eV/f.u.
# * DFT formation energy: 1.01 eV per formula unit
data_TaIn2Hg
_cell_length_a 3.035
_cell_length_b 3.035
_cell_length_c 9.717
_cell_angle_alpha 90.00
_cell_angle_beta 90.00
_cell_angle_gamma 90.00
_symmetry_space_group_name_H-M 'P 4/m m m'
_symmetry_Int_Tables_number 123
_symmetry_space_group_name_Hall '-P 4 2'
loop_
_atom_site_label
_atom_site_fract_x
_atom_site_fract_y
_atom_site_fract_z
Ta1 0.000 0.000 0.000
In1 0.500 0.500 0.222
Hg1 0.000 0.000 0.500

4.
# TaInHg2 | the Alexandria database | PBE | relaxed
# * raw total energy: -12.8 eV/f.u.
# * DFT formation energy: 2.36 eV per formula unit
data_TaInHg2
_cell_length_a 7.813
_cell_length_b 7.813
_cell_length_c 5.959
_cell_angle_alpha 90.00
_cell_angle_beta 90.00
_cell_angle_gamma 90.00
_symmetry_space_group_name_H-M 'I -4 2 d'
_symmetry_Int_Tables_number 122
_symmetry_space_group_name_Hall 'I -4 2bw'
loop_
_atom_site_label
_atom_site_fract_x
_atom_site_fract_y
_atom_site_fract_z
Ta1 0.000 0.000 0.000
In1 0.000 0.000 0.500
Hg1 0.244 0.750 0.125

5.
# TaInHg2 | the Alexandria database | PBE | relaxed
# * raw total energy: -13.6 eV/f.u.
# * DFT formation energy: 1.63 eV per formula unit
data_TaInHg2
_cell_length_a 2.981
_cell_length_b 5.401
_cell_length_c 5.418
_cell_angle_alpha 90.00
_cell_angle_beta 90.00
_cell_angle_gamma 90.00
_symmetry_space_group_name_H-M 'P m m m'
_symmetry_Int_Tables_number 47
loop_
_symmetry_equiv_pos_as_xyz
'x,y,z'
'-x,-y,-z'
'-x,-y,z'
'x,y,-z'
'x,-y,-z'
'-x,y,z'
'-x,y,-z'
'x,-y,z'
loop_
_atom_site_label
_atom_site_fract_x
_atom_site_fract_y
_atom_site_fract_z
Ta1 0.000 0.000 0.000
In1 0.500 0.500 0.000
Hg1 0.000 0.500 0.500
Hg2 0.500 0.000 0.500

6.
# TaIn2Hg | the Alexandria database | PBE | relaxed
# * raw total energy: -16.5 eV/f.u.
# * DFT formation energy: 1.09 eV per formula unit
data_TaIn2Hg
_cell_length_a 3.006
_cell_length_b 5.303
_cell_length_c 5.412
_cell_angle_alpha 90.00
_cell_angle_beta 90.00
_cell_angle_gamma 90.00
_symmetry_space_group_name_H-M 'P m m 2'
_symmetry_Int_Tables_number 25
loop_
_symmetry_equiv_pos_as_xyz
'x,y,z'
'-x,-y,z'
'-x,y,z'
'x,-y,z'
loop_
_atom_site_label
_atom_site_fract_x
_atom_site_fract_y
_atom_site_fract_z
Ta1 0.000 0.000 0.000
In1 0.500 0.000 0.504
In2 0.500 0.500 0.129
Hg1 0.000 0.500 0.645

7.
# TaInHg2 | the Alexandria database | PBE | relaxed
# * raw total energy: -14.0 eV/f.u.
# * DFT formation energy: 1.24 eV per formula unit
data_TaInHg2
_cell_length_a 3.1479
_cell_length_b 3.1479
_cell_length_c 30.5387
_cell_angle_alpha 90.00
_cell_angle_beta 90.00
_cell_angle_gamma 120.00
_symmetry_space_group_name_H-M 'R 3 m'
_symmetry_Int_Tables_number 160
_symmetry_space_group_name_Hall 'R 3 -2"'
loop_
_atom_site_label
_atom_site_fract_x
_atom_site_fract_y
_atom_site_fract_z
Ta1 0.0000 0.0000 0.0000
In1 0.0000 0.0000 0.2547
Hg1 0.0000 0.0000 0.4996
Hg2 0.0000 0.0000 0.7437

8.
# TaInHg4 | the Alexandria database | PBE | relaxed
# * raw total energy: -11.5 eV/f.u.
# * DFT formation energy: 4.31 eV per formula unit
data_TaInHg4
_cell_length_a 8.266
_cell_length_b 8.266
_cell_length_c 8.266
_cell_angle_alpha 90.00
_cell_angle_beta 90.00
_cell_angle_gamma 90.00
_symmetry_space_group_name_H-M 'F -4 3 m'
_symmetry_Int_Tables_number 216
_symmetry_space_group_name_Hall 'F -4 2 3'
loop_
_atom_site_label
_atom_site_fract_x
_atom_site_fract_y
_atom_site_fract_z
Ta1 0.000 0.000 0.000
In1 0.250 0.250 0.250
Hg1 0.125 0.125 0.625

> The lowest DFT formation energy belongs to which entry?

number 3